Entry from Alexandria: a relaxed KNpCl2F6 crystal (PBE).

Properties
ρ: 3.21 g cm⁻³
DOS at the Fermi energy: 16.66 states/eV/cell
M_tot: 2.6 Bohr magnetons per cell
uncorrected formation energy: -2538 meV per atom

The structure in extended XYZ format:
```
20
Lattice="5.309 0.000 0.000 0.000 11.386 0.000 0.000 0.000 7.894" Properties=species:S:1:pos:R:3 pbc="T T T"
K 1.327 2.847 0.337
K 3.982 8.540 7.557
Np 1.327 8.540 3.627
Np 3.982 2.847 4.268
Cl 1.327 5.839 7.863
Cl 1.327 11.240 7.863
Cl 3.982 0.146 0.031
Cl 3.982 5.547 0.031
F 0.048 2.847 2.764
F 0.054 2.847 5.758
F 1.327 6.531 3.637
F 1.327 10.549 3.637
F 2.601 2.847 5.758
F 2.607 2.847 2.764
F 2.702 8.540 5.130
F 2.708 8.540 2.137
F 3.982 0.838 4.257
F 3.982 4.855 4.257
F 5.255 8.540 2.137
F 5.261 8.540 5.130
```

=====

Entry from Alexandria: a relaxed Cs2BeHCl6 crystal (PBE).

Properties
ρ: 2.90 g cm⁻³
E: -2.955 eV per atom
DOS at the Fermi energy: 4.33 states/eV/cell
M_tot: 1.0 Bohr magnetons per cell

The structure in extended XYZ format:
```
10
Lattice="-3.619 3.619 5.349 3.619 -3.619 5.349 3.619 3.619 -5.349" Properties=species:S:1:pos:R:3 pbc="T T T"
Cs 3.619 0.000 2.674
Cs 0.000 3.619 2.674
Be 0.000 0.000 0.000
H 0.000 0.000 5.349
Cl 0.000 0.000 1.866
Cl 2.131 2.131 0.000
Cl 1.488 -1.488 5.349
Cl -1.488 1.488 5.349
Cl 1.488 1.488 5.349
Cl 0.000 0.000 8.832
```

=====

Entry from Alexandria: a relaxed La3NdTl3 crystal (PBE).

Properties
relative energy among the computed polymorphs: 0.0000 eV per atom
ρ: 8.37 g cm⁻³
calculated formation energy: -0.32 eV/atom
DOS at the Fermi energy: 31.45 states/eV/cell
M_tot: 0.0 Bohr magnetons per cell

The structure in extended XYZ format:
```
28
Lattice="9.769 0.000 0.000 0.000 9.769 0.000 0.000 0.000 9.769" Properties=species:S:1:pos:R:3 pbc="T T T"
La 0.706 4.178 5.590
La 1.697 8.071 3.187
La 1.705 1.705 1.705
La 3.180 8.064 6.589
La 3.187 1.697 8.071
La 4.178 5.590 0.706
La 5.590 0.706 4.178
La 6.582 6.582 6.582
La 6.589 3.180 8.064
La 8.064 6.589 3.180
La 8.071 3.187 1.697
La 9.063 9.063 9.063
Nd 0.734 5.619 9.034
Nd 4.150 4.150 4.150
Nd 5.619 9.034 0.734
Nd 9.034 0.734 5.619
Tl 0.007 2.478 8.517
Tl 1.252 4.891 2.407
Tl 2.407 1.252 4.891
Tl 2.478 8.517 0.007
Tl 3.632 4.877 7.291
Tl 4.877 7.291 3.632
Tl 4.891 2.407 1.252
Tl 6.136 9.762 7.362
Tl 7.291 3.632 4.877
Tl 7.362 6.136 9.762
Tl 8.517 0.007 2.478
Tl 9.762 7.362 6.136
```

=====

Entry from Alexandria: a relaxed La2CuRu crystal (PBE).

Properties
ρ: 8.82 g cm⁻³
calculated formation energy: 0.03 eV/atom
DOS at the Fermi energy: 4.47 states/eV/cell
M_tot: 0.0 Bohr magnetons per cell

The structure in extended XYZ format:
```
4
Lattice="0.000 3.466 3.466 3.466 0.000 3.466 3.466 3.466 0.000" Properties=species:S:1:pos:R:3 pbc="T T T"
La 0.000 0.000 0.000
La 1.733 1.733 1.733
Cu 3.466 3.466 3.466
Ru 5.199 5.199 5.199
```

=====

Entry from Alexandria: a relaxed Na3BeSb crystal (PBE).

Properties
relative energy among the computed polymorphs: 0.0660 eV per atom
ρ: 2.31 g cm⁻³
DOS at the Fermi energy: 1.55 states/eV/cell
M_tot: 0.0 Bohr magnetons per cell
uncorrected formation energy: 498 meV per atom

The structure in extended XYZ format:
```
5
Lattice="5.235 0.000 0.000 0.000 5.235 0.000 0.000 0.000 5.235" Properties=species:S:1:pos:R:3 pbc="T T T"
Na 0.000 0.000 2.617
Na 0.000 2.617 0.000
Na 2.617 0.000 0.000
Be 0.000 0.000 0.000
Sb 2.617 2.617 2.617
```

=====

Entry from Alexandria: a relaxed MgPbBr2 crystal (PBE).

Properties
relative energy among the computed polymorphs: 0.3198 eV per atom
ρ: 4.73 g cm⁻³
DOS at the Fermi energy: 1.63 states/eV/cell
M_tot: 0.0 Bohr magnetons per cell
uncorrected formation energy: -595 meV per atom

The structure in extended XYZ format:
```
4
Lattice="3.381 0.000 0.000 0.000 3.381 0.000 0.000 0.000 12.028" Properties=species:S:1:pos:R:3 pbc="T T T"
Mg 0.000 0.000 0.000
Pb 0.000 0.000 6.014
Br 1.690 1.690 1.640
Br 1.690 1.690 10.389
```

=====

Entry from Alexandria: a relaxed Cs2TlCuBr5 crystal (PBE).

Properties
ρ: 4.16 g cm⁻³
DOS at the Fermi energy: 18.37 states/eV/cell
M_tot: 1.6 Bohr magnetons per cell
uncorrected formation energy: -1063 meV per atom

The structure in extended XYZ format:
```
18
Lattice="2.285 -10.546 0.000 2.285 10.546 0.000 0.000 0.000 15.456" Properties=species:S:1:pos:R:3 pbc="T T T"
Cs 2.285 7.939 7.728
Cs 2.285 7.818 2.237
Cs 2.285 -7.818 9.965
Cs 2.285 -7.939 0.000
Tl 2.285 6.302 13.038
Tl 2.285 -6.302 5.310
Cu 2.285 1.353 3.203
Cu 2.285 -1.353 10.931
Br 2.285 9.570 11.972
Br 2.285 4.262 7.493
Br 2.285 3.772 2.905
Br 2.285 3.265 12.729
Br 2.285 0.027 8.971
Br 2.285 -0.027 1.243
Br 2.285 -3.265 5.001
Br 2.285 -3.772 10.632
Br 2.285 -4.262 15.221
Br 2.285 -9.570 4.244
```

=====

Entry from Alexandria: a relaxed RbAg3Br4 crystal (PBE).

Properties
relative energy among the computed polymorphs: 0.0488 eV per atom
ρ: 4.80 g cm⁻³
M_tot: 0.0 Bohr magnetons per cell
uncorrected formation energy: -620 meV per atom

The structure in extended XYZ format:
```
16
Lattice="7.958 0.000 0.000 0.000 7.958 0.000 0.000 0.000 7.958" Properties=species:S:1:pos:R:3 pbc="T T T"
Rb 0.000 0.000 0.000
Rb 3.979 3.979 3.979
Ag 0.000 1.989 3.979
Ag 0.000 5.968 3.979
Ag 1.989 3.979 0.000
Ag 3.979 0.000 1.989
Ag 3.979 0.000 5.968
Ag 5.968 3.979 0.000
Br 1.989 1.989 1.989
Br 1.989 1.989 5.968
Br 1.989 5.968 1.989
Br 1.989 5.968 5.968
Br 5.968 1.989 1.989
Br 5.968 1.989 5.968
Br 5.968 5.968 1.989
Br 5.968 5.968 5.968
```

=====

Among the records above, which one has the highest M_tot?
KNpCl2F6

=====

Please write out number 5 again, unchanged.
Entry from Alexandria: a relaxed Na3BeSb crystal (PBE).

Properties
relative energy among the computed polymorphs: 0.0660 eV per atom
ρ: 2.31 g cm⁻³
DOS at the Fermi energy: 1.55 states/eV/cell
M_tot: 0.0 Bohr magnetons per cell
uncorrected formation energy: 498 meV per atom

The structure in extended XYZ format:
```
5
Lattice="5.235 0.000 0.000 0.000 5.235 0.000 0.000 0.000 5.235" Properties=species:S:1:pos:R:3 pbc="T T T"
Na 0.000 0.000 2.617
Na 0.000 2.617 0.000
Na 2.617 0.000 0.000
Be 0.000 0.000 0.000
Sb 2.617 2.617 2.617
```

=====

What is the M_tot in the fourth record?
0.0 Bohr magnetons per cell